{"formula": "LiAcI2O", "functional": "PBE", "state": "relaxed", "lattice_angstrom": [[4.2721, 0.0000, 0.0000], [0.0000, 4.2721, 0.0000], [0.0000, 0.0000, 16.5111]], "species": ["Li", "Li", "Ac", "Ac", "I", "I", "I", "I", "O", "O"], "fractional_positions": [[0.5000, 0.0000, 0.0736], [0.0000, 0.5000, 0.9264], [0.5000, 0.0000, 0.5768], [0.0000, 0.5000, 0.4232], [0.0000, 0.5000, 0.6941], [0.0000, 0.5000, 0.0971], [0.5000, 0.0000, 0.9029], [0.5000, 0.0000, 0.3059], [0.0000, 0.0000, 0.5000], [0.5000, 0.5000, 0.5000]], "vol_a3_per_atom": 30.13, "total_magnetization_mub_per_atom": 0.0000, "raw_formation_energy_kj_per_mol_atoms": -205.5, "final_energy_ev_per_atom": -4.95}

***

{"formula": "RbLiAcI5", "functional": "PBE", "state": "relaxed", "lattice_angstrom": [[8.8117, -0.0293, -0.1064], [-2.6003, 8.4193, -0.1064], [-2.7025, -3.6504, 11.1430]], "species": ["Rb", "Rb", "Li", "Li", "Ac", "Ac", "I", "I", "I", "I", "I", "I", "I", "I", "I", "I"], "fractional_positions": [[0.3584, 0.6416, 0.2500], [0.6416, 0.3584, 0.7500], [0.6905, 0.3095, 0.2500], [0.3095, 0.6905, 0.7500], [0.0000, 0.0000, 0.5000], [0.0000, 0.0000, 0.0000], [0.0941, 0.9059, 0.2500], [0.9059, 0.0941, 0.7500], [0.9181, 0.3252, 0.1225], [0.0819, 0.6748, 0.8775], [0.6748, 0.0819, 0.3775], [0.3252, 0.9181, 0.6225], [0.7484, 0.6099, 0.4315], [0.2516, 0.3901, 0.5685], [0.3901, 0.2516, 0.0685], [0.6099, 0.7484, 0.9315]], "vol_a3_per_atom": 51.19, "total_magnetization_mub_per_atom": 0.0000, "raw_formation_energy_kj_per_mol_atoms": -138.6, "final_energy_ev_per_atom": -3.28}

***

{"formula": "Rb2LiAcI6", "functional": "PBE", "state": "relaxed", "lattice_angstrom": [[8.5000, 0.0000, 0.0279], [0.0000, 8.9142, 0.0000], [0.1180, 0.0000, 12.0955]], "species": ["Rb", "Rb", "Rb", "Rb", "Li", "Li", "Ac", "Ac", "I", "I", "I", "I", "I", "I", "I", "I", "I", "I", "I", "I"], "fractional_positions": [[0.0249, 0.9253, 0.2534], [0.5249, 0.5747, 0.7534], [0.9751, 0.0747, 0.7466], [0.4751, 0.4253, 0.2466], [0.5000, 0.0000, 0.0000], [0.0000, 0.5000, 0.5000], [0.5000, 0.0000, 0.5000], [0.0000, 0.5000, 0.0000], [0.3094, 0.7062, 0.0490], [0.8094, 0.7938, 0.5490], [0.6906, 0.2938, 0.9510], [0.1906, 0.2062, 0.4510], [0.2967, 0.6952, 0.4539], [0.7967, 0.8048, 0.9539], [0.7033, 0.3048, 0.5461], [0.2033, 0.1952, 0.0461], [0.9051, 0.5197, 0.2618], [0.4051, 0.9803, 0.7618], [0.0949, 0.4803, 0.7382], [0.5949, 0.0197, 0.2382]], "vol_a3_per_atom": 45.82, "total_magnetization_mub_per_atom": 0.0000, "raw_formation_energy_kj_per_mol_atoms": -140.5, "final_energy_ev_per_atom": -3.18}

***

{"formula": "LiAcSeI", "functional": "PBE", "state": "relaxed", "lattice_angstrom": [[-3.2638, 1.0091, -2.6740], [-2.5049, -3.1367, -1.6456], [-11.6838, 0.5800, 10.9606]], "species": ["Li", "Li", "Ac", "Ac", "Se", "Se", "I", "I"], "fractional_positions": [[0.6865, 0.6865, 0.9405], [0.3135, 0.3135, 0.0595], [0.0775, 0.0775, 0.7676], [0.9225, 0.9225, 0.2324], [0.6310, 0.6310, 0.1069], [0.3690, 0.3690, 0.8931], [0.7909, 0.7909, 0.6272], [0.2091, 0.2091, 0.3728]], "vol_a3_per_atom": 32.26, "total_magnetization_mub_per_atom": 0.0000, "raw_formation_energy_kj_per_mol_atoms": -134.5, "final_energy_ev_per_atom": -4.16}

***

{"formula": "LiAc2Se2I2", "functional": "PBE", "state": "relaxed", "lattice_angstrom": [[5.1991, 0.0000, 0.0000], [-2.5996, 4.5026, 0.0000], [0.0000, 0.0000, 13.2130]], "species": ["Li", "Ac", "Ac", "Se", "Se", "I", "I"], "fractional_positions": [[0.0000, 0.0000, 0.0000], [0.6667, 0.3333, 0.3656], [0.3333, 0.6667, 0.6344], [0.6667, 0.3333, 0.5969], [0.3333, 0.6667, 0.4031], [0.0000, 0.0000, 0.7978], [0.0000, 0.0000, 0.2022]], "vol_a3_per_atom": 44.19, "total_magnetization_mub_per_atom": 0.0233, "raw_formation_energy_kj_per_mol_atoms": -139.4, "final_energy_ev_per_atom": -4.33}

***

{"formula": "LiAcTeI", "functional": "PBE", "state": "relaxed", "lattice_angstrom": [[5.6568, 0.0000, 0.0000], [2.8284, 4.8989, 0.0000], [2.8284, 1.6330, 4.6188]], "species": ["I", "Ac", "Te", "Li"], "fractional_positions": [[0.0000, 0.0000, 0.0000], [0.2500, 0.2500, 0.2500], [0.5000, 0.5000, 0.5000], [0.7500, 0.7500, 0.7500]], "vol_a3_per_atom": 32.00, "total_magnetization_mub_per_atom": 0.0848, "raw_formation_energy_kj_per_mol_atoms": -96.7, "final_energy_ev_per_atom": -3.68}

***

{"formula": "LiAcTl2I6", "functional": "PBE", "state": "relaxed", "lattice_angstrom": [[8.1806, 0.0000, 0.1047], [0.0000, 8.7255, 0.0000], [0.2211, 0.0000, 11.9610]], "species": ["Li", "Li", "Ac", "Ac", "Tl", "Tl", "Tl", "Tl", "I", "I", "I", "I", "I", "I", "I", "I", "I", "I", "I", "I"], "fractional_positions": [[0.5000, 0.0000, 0.0000], [0.0000, 0.5000, 0.5000], [0.5000, 0.0000, 0.5000], [0.0000, 0.5000, 0.0000], [0.0374, 0.9067, 0.2621], [0.5374, 0.5933, 0.7621], [0.9626, 0.0933, 0.7379], [0.4626, 0.4067, 0.2379], [0.3231, 0.7013, 0.0583], [0.8231, 0.7987, 0.5583], [0.6769, 0.2987, 0.9417], [0.1769, 0.2013, 0.4417], [0.3049, 0.6852, 0.4384], [0.8049, 0.8148, 0.9384], [0.6951, 0.3148, 0.5616], [0.1951, 0.1852, 0.0616], [0.8747, 0.5295, 0.2610], [0.3747, 0.9705, 0.7610], [0.1253, 0.4705, 0.7390], [0.6253, 0.0295, 0.2390]], "vol_a3_per_atom": 42.68, "total_magnetization_mub_per_atom": 0.0000, "raw_formation_energy_kj_per_mol_atoms": -106.7, "final_energy_ev_per_atom": -3.11}

***

{"formula": "AcLuI2", "functional": "PBE", "state": "relaxed", "lattice_angstrom": [[3.9897, 0.0000, 0.0000], [1.9949, 3.4552, 0.0000], [1.9949, 1.1517, 11.1183]], "species": ["I", "I", "Ac", "Lu"], "fractional_positions": [[0.0907, 0.0907, 0.7279], [0.9093, 0.9093, 0.2721], [0.5000, 0.5000, 0.5000], [0.0000, 0.0000, 0.0000]], "vol_a3_per_atom": 38.32, "total_magnetization_mub_per_atom": 0.0001, "raw_formation_energy_kj_per_mol_atoms": -66.3, "final_energy_ev_per_atom": -3.62}